<one>
Material: CrFeSb2
Method: DFT, PBE-GGA
State: optimized geometry

Output
As for the density of states at the Fermi level: 8.53 states/eV per cell. The space group is Amm2, No. 38. As for the volume: 17.880 A^3/atom. The total moment is 7.2 Bohr magnetons per cell.

Cell lengths 4.125, 3.563, 9.732 Å; angles 90.00, 90.00, 90.00 degrees
Sites, in units of the cell vectors:
Cr 0.000 0.000 0.000
Cr 0.000 0.500 0.500
Fe 0.500 0.000 0.857
Fe 0.500 0.500 0.357
Sb 0.000 0.000 0.286
Sb 0.000 0.500 0.786
Sb 0.500 0.000 0.571
Sb 0.500 0.500 0.071



<two>
Material: CrFeSb2
Method: DFT, PBE-GGA
State: optimized geometry

Output
As for the density of states at the Fermi level: 7.54 states/eV per cell. The space group is Fm-3m, No. 225. As for the volume: 16.053 A^3/atom. The total moment is 0.0 Bohr magnetons per cell.

Cell lengths 6.357, 6.357, 6.357 Å; angles 90.00, 90.00, 90.00 degrees
Sites, in units of the cell vectors:
Cr 0.000 0.000 0.000
Cr 0.000 0.500 0.500
Cr 0.500 0.000 0.500
Cr 0.500 0.500 0.000
Fe 0.000 0.000 0.500
Fe 0.000 0.500 0.000
Fe 0.500 0.000 0.000
Fe 0.500 0.500 0.500
Sb 0.250 0.250 0.250
Sb 0.250 0.250 0.750
Sb 0.250 0.750 0.250
Sb 0.250 0.750 0.750
Sb 0.750 0.250 0.250
Sb 0.750 0.250 0.750
Sb 0.750 0.750 0.250
Sb 0.750 0.750 0.750



Computed stability ranking, most favorable first: <one>, <two>



<one>
Material: CrFeSb2
Method: DFT, PBE-GGA
State: optimized geometry

Output
As for the density of states at the Fermi level: 6.68 states/eV per cell. The space group is R-3m, No. 166. As for the volume: 20.554 A^3/atom. The total moment is 19.0 Bohr magnetons per cell.

Cell lengths 3.675, 3.675, 21.086 Å; angles 90.00, 90.00, 120.00 degrees
Sites, in units of the cell vectors:
Cr 0.000 0.000 0.000
Cr 0.333 0.667 0.667
Cr 0.667 0.333 0.333
Fe 0.000 0.000 0.500
Fe 0.333 0.667 0.167
Fe 0.667 0.333 0.833
Sb 0.000 0.000 0.245
Sb 0.000 0.000 0.755
Sb 0.333 0.667 0.422
Sb 0.333 0.667 0.911
Sb 0.667 0.333 0.089
Sb 0.667 0.333 0.578



<two>
Material: CrFeSb2
Method: DFT, PBE-GGA
State: optimized geometry

Output
As for the density of states at the Fermi level: 27.95 states/eV per cell. The space group is F-43m, No. 216. As for the volume: 19.522 A^3/atom. The total moment is 22.9 Bohr magnetons per cell.

Cell lengths 6.785, 6.785, 6.785 Å; angles 90.00, 90.00, 90.00 degrees
Sites, in units of the cell vectors:
Cr 0.000 0.000 0.000
Cr 0.000 0.500 0.500
Cr 0.500 0.000 0.500
Cr 0.500 0.500 0.000
Fe 0.250 0.250 0.250
Fe 0.250 0.750 0.750
Fe 0.750 0.250 0.750
Fe 0.750 0.750 0.250
Sb 0.000 0.000 0.500
Sb 0.000 0.500 0.000
Sb 0.250 0.250 0.750
Sb 0.250 0.750 0.250
Sb 0.500 0.000 0.000
Sb 0.500 0.500 0.500
Sb 0.750 0.250 0.250
Sb 0.750 0.750 0.750



<three>
Material: CrFeSb2
Method: DFT, PBE-GGA
State: optimized geometry

Output
As for the density of states at the Fermi level: 25.69 states/eV per cell. The space group is I-42d, No. 122. As for the volume: 21.044 A^3/atom. The total moment is 25.5 Bohr magnetons per cell.

Cell lengths 7.379, 7.379, 6.184 Å; angles 90.00, 90.00, 90.00 degrees
Sites, in units of the cell vectors:
Cr 0.000 0.000 0.000
Cr 0.000 0.500 0.250
Cr 0.500 0.000 0.750
Cr 0.500 0.500 0.500
Fe 0.000 0.000 0.500
Fe 0.000 0.500 0.750
Fe 0.500 0.000 0.250
Fe 0.500 0.500 0.000
Sb 0.232 0.250 0.625
Sb 0.250 0.732 0.875
Sb 0.250 0.768 0.375
Sb 0.268 0.250 0.125
Sb 0.732 0.750 0.125
Sb 0.750 0.232 0.375
Sb 0.750 0.268 0.875
Sb 0.768 0.750 0.625



Computed stability ranking, most favorable first: <one>, <three>, <two>



<one>
Material: ScCrFe2
Method: DFT, PBE-GGA
State: optimized geometry

Output
As for the density of states at the Fermi level: 21.54 states/eV per cell. The space group is Fm-3m, No. 225. As for the volume: 12.862 A^3/atom. The total moment is 4.2 Bohr magnetons per cell.

Cell lengths 5.904, 5.904, 5.904 Å; angles 90.00, 90.00, 90.00 degrees
Sites, in units of the cell vectors:
Sc 0.000 0.000 0.000
Sc 0.000 0.500 0.500
Sc 0.500 0.000 0.500
Sc 0.500 0.500 0.000
Cr 0.000 0.000 0.500
Cr 0.000 0.500 0.000
Cr 0.500 0.000 0.000
Cr 0.500 0.500 0.500
Fe 0.250 0.250 0.250
Fe 0.250 0.250 0.750
Fe 0.250 0.750 0.250
Fe 0.250 0.750 0.750
Fe 0.750 0.250 0.250
Fe 0.750 0.250 0.750
Fe 0.750 0.750 0.250
Fe 0.750 0.750 0.750



<two>
Material: ScCrFe2
Method: DFT, PBE-GGA
State: optimized geometry

Output
As for the density of states at the Fermi level: 16.99 states/eV per cell. The space group is F-43m, No. 216. As for the volume: 13.648 A^3/atom. The total moment is 7.0 Bohr magnetons per cell.

Cell lengths 6.022, 6.022, 6.022 Å; angles 90.00, 90.00, 90.00 degrees
Sites, in units of the cell vectors:
Sc 0.000 0.000 0.000
Sc 0.000 0.500 0.500
Sc 0.500 0.000 0.500
Sc 0.500 0.500 0.000
Cr 0.250 0.250 0.750
Cr 0.250 0.750 0.250
Cr 0.750 0.250 0.250
Cr 0.750 0.750 0.750
Fe 0.000 0.000 0.500
Fe 0.000 0.500 0.000
Fe 0.250 0.250 0.250
Fe 0.250 0.750 0.750
Fe 0.500 0.000 0.000
Fe 0.500 0.500 0.500
Fe 0.750 0.250 0.750
Fe 0.750 0.750 0.250



<three>
Material: ScCrFe2
Method: DFT, PBE-GGA
State: optimized geometry

Output
As for the density of states at the Fermi level: 4.37 states/eV per cell. The space group is P4mm, No. 99. As for the volume: 13.883 A^3/atom. The total moment is 3.2 Bohr magnetons per cell.

Cell lengths 2.973, 2.973, 6.282 Å; angles 90.00, 90.00, 90.00 degrees
Sites, in units of the cell vectors:
Sc 0.000 0.000 0.000
Cr 0.500 0.500 0.303
Fe 0.000 0.000 0.499
Fe 0.500 0.500 0.713



Computed stability ranking, most favorable first: <one>, <three>, <two>



<one>
Material: ScCrFe2
Method: DFT, PBE-GGA
State: optimized geometry

Output
As for the density of states at the Fermi level: 4.66 states/eV per cell. The space group is P4/mmm, No. 123. As for the volume: 12.984 A^3/atom. The total moment is 1.0 Bohr magnetons per cell.

Cell lengths 4.209, 4.209, 2.932 Å; angles 90.00, 90.00, 90.00 degrees
Sites, in units of the cell vectors:
Sc 0.000 0.000 0.000
Cr 0.500 0.500 0.000
Fe 0.000 0.500 0.500
Fe 0.500 0.000 0.500



<two>
Material: ScCrFe2
Method: DFT, PBE-GGA
State: optimized geometry

Output
As for the density of states at the Fermi level: 13.49 states/eV per cell. The space group is R3m, No. 160. As for the volume: 13.999 A^3/atom. The total moment is 10.3 Bohr magnetons per cell.

Cell lengths 2.776, 2.776, 25.165 Å; angles 90.00, 90.00, 120.00 degrees
Sites, in units of the cell vectors:
Sc 0.000 0.000 0.000
Sc 0.333 0.667 0.667
Sc 0.667 0.333 0.333
Cr 0.000 0.000 0.759
Cr 0.333 0.667 0.425
Cr 0.667 0.333 0.092
Fe 0.000 0.000 0.242
Fe 0.000 0.000 0.498
Fe 0.333 0.667 0.165
Fe 0.333 0.667 0.909
Fe 0.667 0.333 0.575
Fe 0.667 0.333 0.831



<three>
Material: ScCrFe2
Method: DFT, PBE-GGA
State: optimized geometry

Output
As for the density of states at the Fermi level: 14.79 states/eV per cell. The space group is R-3m, No. 166. As for the volume: 13.861 A^3/atom. The total moment is 5.7 Bohr magnetons per cell.

Cell lengths 2.847, 2.847, 23.687 Å; angles 90.00, 90.00, 120.00 degrees
Sites, in units of the cell vectors:
Sc 0.000 0.000 0.000
Sc 0.333 0.667 0.667
Sc 0.667 0.333 0.333
Cr 0.000 0.000 0.500
Cr 0.333 0.667 0.167
Cr 0.667 0.333 0.833
Fe 0.000 0.000 0.240
Fe 0.000 0.000 0.760
Fe 0.333 0.667 0.427
Fe 0.333 0.667 0.907
Fe 0.667 0.333 0.093
Fe 0.667 0.333 0.573



<four>
Material: ScCrFe2
Method: DFT, PBE-GGA
State: optimized geometry

Output
As for the density of states at the Fermi level: 3.90 states/eV per cell. The space group is Pmmm, No. 47. As for the volume: 13.652 A^3/atom. The total moment is 1.3 Bohr magnetons per cell.

Cell lengths 3.103, 4.092, 4.301 Å; angles 90.00, 90.00, 90.00 degrees
Sites, in units of the cell vectors:
Sc 0.000 0.000 0.000
Cr 0.500 0.000 0.500
Fe 0.000 0.500 0.500
Fe 0.500 0.500 0.000



Computed stability ranking, most favorable first: <one>, <four>, <three>, <two>